The following is a PBE calculation of HfCrReNi after structural relaxation, from the Alexandria database.

a b c (Å): 4.161 3.187 9.816
angles (deg): 90.00 114.96 90.00
Each line ends with the local moment (μB).
Fractional positions:
Hf  0.470  0.500  0.817  -0.04
Hf  0.470  0.000  0.317  -0.04
Ni  0.986  0.500  0.333  0.15
Ni  0.986  0.000  0.833  0.15
Re  0.727  0.000  0.075  -0.26
Re  0.727  0.500  0.575  -0.26
Cr  0.218  0.000  0.567  1.03
Cr  0.218  0.500  0.067  1.03

Summary:
**Space-group type**: Cm, No. 8
**DFT formation energy**: 0.19 eV/f.u.
**DOS at the Fermi energy**: 1.057 states/eV/atom
**Energy above the most stable polymorph in this dataset**: 0.46 eV per formula unit

The following is a PBE calculation of HfCrReNi after structural relaxation, from the Alexandria database.

a b c (Å): 4.404 4.137 3.276
angles (deg): 90.00 90.00 90.00
Each line ends with the local moment (μB).
Fractional positions:
Re  0.000  0.500  0.954  -0.33
Ni  0.500  0.000  0.953  0.21
Cr  0.000  0.000  0.454  2.01
Hf  0.500  0.500  0.454  0.01

Summary:
**Space-group type**: Pmmm, No. 47
**DFT formation energy**: -0.27 eV/f.u.
**DOS at the Fermi energy**: 0.961 states/eV/atom
**Energy above the most stable polymorph in this dataset**: 0.00 eV per formula unit

Q: What is the formula in the second record?
A: HfCrReNi

Q: DOS at the Fermi energy of number 2 (HfCrReNi)?
A: 0.961 states/eV/atom

Repeat the first record exactly.
The following is a PBE calculation of HfCrReNi after structural relaxation, from the Alexandria database.

a b c (Å): 4.161 3.187 9.816
angles (deg): 90.00 114.96 90.00
Each line ends with the local moment (μB).
Fractional positions:
Hf  0.470  0.500  0.817  -0.04
Hf  0.470  0.000  0.317  -0.04
Ni  0.986  0.500  0.333  0.15
Ni  0.986  0.000  0.833  0.15
Re  0.727  0.000  0.075  -0.26
Re  0.727  0.500  0.575  -0.26
Cr  0.218  0.000  0.567  1.03
Cr  0.218  0.500  0.067  1.03

Summary:
**Space-group type**: Cm, No. 8
**DFT formation energy**: 0.19 eV/f.u.
**DOS at the Fermi energy**: 1.057 states/eV/atom
**Energy above the most stable polymorph in this dataset**: 0.46 eV per formula unit